4
Lattice="-1.777 1.777 4.213 1.777 -1.777 4.213 1.777 1.777 -4.213" Properties=species:S:1:pos:R:3 comment="TaBe2Cl | the Alexandria database | PBE | optimized geometry" magmom_total_mub_per_fu=0.00 e_form_raw_mev_per_atom=659 energy_ev_per_atom=-4.6286 relative_energy_ev_per_atom=0.520 pbc="T T T"
Ta 0.000 0.000 0.000
Be 1.777 0.000 2.106
Be 0.000 0.000 4.213
Cl 0.000 1.777 2.106